SCAN LiScSn3, PBEsol geometry; formation energy from the elements = 0.15 eV per atom; VASP energy = -123.7 eV/cell; D(E_F) = 0.842 states/eV/atom; calculated volume = 160.77 Å³ per cell; relative energy among the computed polymorphs = 77 meV per atom; calculated density = 4214 kg/m3; space-group type = Pm-3m (221)
1.0
5.4375 0.0000 0.0000
0.0000 5.4375 0.0000
0.0000 0.0000 5.4375
Li Sc Sn
1 1 3
Direct
0.0000 0.0000 0.0000 Li
0.5000 0.5000 0.5000 Sc
0.0000 0.5000 0.5000 Sn
0.5000 0.0000 0.5000 Sn
0.5000 0.5000 0.0000 Sn



SCAN LiSc2Sn2, PBEsol geometry; formation energy from the elements = -0.60 eV per atom; VASP energy = -211.4 eV/cell; D(E_F) = 0.621 states/eV/atom; calculated volume = 219.79 Å³ per cell; calculated density = 5051 kg/m3; space-group type = P4/mbm (127)
1.0
7.1732 0.0000 0.0000
0.0000 7.1732 0.0000
0.0000 0.0000 4.2714
Li Sc Sn
2 4 4
Direct
0.0000 0.0000 0.0000 Li
0.5000 0.5000 0.0000 Li
0.1672 0.3328 0.5000 Sc
0.3328 0.8328 0.5000 Sc
0.6672 0.1672 0.5000 Sc
0.8328 0.6672 0.5000 Sc
0.1402 0.6402 0.0000 Sn
0.3598 0.1402 0.0000 Sn
0.6402 0.8598 0.0000 Sn
0.8598 0.3598 0.0000 Sn



SCAN LiScSn, PBEsol geometry; formation energy from the elements = -0.66 eV per atom; VASP energy = -109.1 eV/cell; D(E_F) = 0.300 states/eV/atom; calculated volume = 117.17 Å³ per cell; calculated density = 4836 kg/m3; space-group type = P6_3/mmc (194)
1.0
4.5432 0.0000 0.0000
-2.2716 3.9345 0.0000
0.0000 0.0000 6.5550
Li Sc Sn
2 2 2
Direct
0.3333 0.6667 0.2500 Li
0.6667 0.3333 0.7500 Li
0.0000 0.0000 0.0000 Sc
0.0000 0.0000 0.5000 Sc
0.3333 0.6667 0.7500 Sn
0.6667 0.3333 0.2500 Sn



SCAN LiScSn3, PBEsol geometry; formation energy from the elements = 0.07 eV per atom; VASP energy = -124.0 eV/cell; D(E_F) = 0.514 states/eV/atom; calculated volume = 116.82 Å³ per cell; relative energy among the computed polymorphs = 0 meV per atom; calculated density = 5800 kg/m3; space-group type = Pm-3m (221)
1.0
4.8884 0.0000 0.0000
0.0000 4.8884 0.0000
0.0000 0.0000 4.8884
Li Sc Sn
1 1 3
Direct
0.0000 0.0000 0.0000 Li
0.5000 0.5000 0.5000 Sc
0.0000 0.0000 0.5000 Sn
0.0000 0.5000 0.0000 Sn
0.5000 0.0000 0.0000 Sn



SCAN LiSc3Sn, PBEsol geometry; formation energy from the elements = 0.20 eV per atom; VASP energy = -80.0 eV/cell; D(E_F) = 0.692 states/eV/atom; calculated volume = 110.51 Å³ per cell; calculated density = 3915 kg/m3; space-group type = Pm-3m (221)
1.0
4.7988 0.0000 0.0000
0.0000 4.7988 0.0000
0.0000 0.0000 4.7988
Li Sc Sn
1 3 1
Direct
0.0000 0.0000 0.0000 Li
0.0000 0.0000 0.5000 Sc
0.0000 0.5000 0.0000 Sc
0.5000 0.0000 0.0000 Sc
0.5000 0.5000 0.5000 Sn



SCAN Li2ScSnW, PBEsol geometry; formation energy from the elements = 1.06 eV per atom; VASP energy = -119.3 eV/cell; D(E_F) = 0.653 states/eV/atom; calculated volume = 111.63 Å³ per cell; calculated density = 5376 kg/m3; space-group type = P4/mmm (123)
1.0
4.8362 0.0000 0.0000
0.0000 4.8362 0.0000
0.0000 0.0000 4.7729
Li Sc Sn W
2 1 1 1
Direct
0.0000 0.5000 0.0000 Li
0.5000 0.0000 0.0000 Li
0.0000 0.0000 0.5000 Sc
0.5000 0.5000 0.5000 Sn
0.0000 0.0000 0.0000 W



SCAN SrLiSc, PBEsol geometry; formation energy from the elements = 0.26 eV per atom; VASP energy = -76.2 eV/cell; D(E_F) = 0.914 states/eV/atom; calculated volume = 178.01 Å³ per cell; calculated density = 2603 kg/m3; space-group type = I4mm (107)
1.0
3.7134 0.0000 0.0000
0.0000 3.7134 0.0000
0.0000 0.0000 12.9098
Sr Li Sc
2 2 2
Direct
0.0000 0.0000 0.0000 Sr
0.5000 0.5000 0.5000 Sr
0.0000 0.0000 0.6778 Li
0.5000 0.5000 0.1778 Li
0.0000 0.0000 0.2960 Sc
0.5000 0.5000 0.7960 Sc



SCAN Sr2Li2Sc, PBEsol geometry; formation energy from the elements = 0.23 eV per atom; VASP energy = -124.8 eV/cell; D(E_F) = 0.841 states/eV/atom; calculated volume = 326.48 Å³ per cell; calculated density = 2381 kg/m3; space-group type = I4/mmm (139)
1.0
3.8576 0.0000 0.0000
0.0000 3.8576 0.0000
0.0000 0.0000 21.9392
Sr Li Sc
4 4 2
Direct
0.0000 0.0000 0.1129 Sr
0.0000 0.0000 0.8871 Sr
0.5000 0.5000 0.3871 Sr
0.5000 0.5000 0.6129 Sr
0.0000 0.5000 0.2500 Li
0.0000 0.5000 0.7500 Li
0.5000 0.0000 0.2500 Li
0.5000 0.0000 0.7500 Li
0.0000 0.0000 0.5000 Sc
0.5000 0.5000 0.0000 Sc